Record 1
VASP calculation (PBE-GGA) on a relaxed structure of Hf2TaSnH.

## Properties
* spin magnetization: 0.0 μB per cell
* DFT total energy: -0.593 Ry per atom

Geometry as CIF:
```
data_Hf2TaSnH
_cell_length_a 4.588
_cell_length_b 4.588
_cell_length_c 3.959
_cell_angle_alpha 90.00
_cell_angle_beta 90.00
_cell_angle_gamma 90.00
_symmetry_space_group_name_H-M 'P 4/m m m'
_symmetry_Int_Tables_number 123
_symmetry_space_group_name_Hall '-P 4 2'
loop_
_atom_site_label
_atom_site_type_symbol
_atom_site_fract_x
_atom_site_fract_y
_atom_site_fract_z
Hf1 Hf 0.000 0.500 0.000
Ta1 Ta 0.000 0.000 0.500
Sn1 Sn 0.500 0.500 0.500
H1 H 0.000 0.000 0.000
```

***

Record 2
VASP calculation (PBE-GGA) on a relaxed structure of HfTa2SnH.

## Properties
* spin magnetization: 0.0 μB per cell
* DFT total energy: -0.612 Ry per atom

Geometry as CIF:
```
data_HfTa2SnH
_cell_length_a 4.186
_cell_length_b 4.186
_cell_length_c 4.563
_cell_angle_alpha 90.00
_cell_angle_beta 90.00
_cell_angle_gamma 90.00
_symmetry_space_group_name_H-M 'P 4/m m m'
_symmetry_Int_Tables_number 123
_symmetry_space_group_name_Hall '-P 4 2'
loop_
_atom_site_label
_atom_site_type_symbol
_atom_site_fract_x
_atom_site_fract_y
_atom_site_fract_z
Hf1 Hf 0.000 0.000 0.000
Ta1 Ta 0.000 0.500 0.500
Sn1 Sn 0.500 0.500 0.000
H1 H 0.000 0.000 0.500
```

***

Record 3
VASP calculation (PBE-GGA) on a relaxed structure of Hf2TiSnH.

## Properties
* spin magnetization: 0.0 μB per cell
* DFT total energy: -0.542 Ry per atom

Geometry as CIF:
```
data_Hf2TiSnH
_cell_length_a 4.382
_cell_length_b 4.382
_cell_length_c 4.300
_cell_angle_alpha 90.00
_cell_angle_beta 90.00
_cell_angle_gamma 90.00
_symmetry_space_group_name_H-M 'P 4/m m m'
_symmetry_Int_Tables_number 123
_symmetry_space_group_name_Hall '-P 4 2'
loop_
_atom_site_label
_atom_site_type_symbol
_atom_site_fract_x
_atom_site_fract_y
_atom_site_fract_z
Hf1 Hf 0.000 0.500 0.000
Ti1 Ti 0.000 0.000 0.500
Sn1 Sn 0.500 0.500 0.500
H1 H 0.000 0.000 0.000
```

***

Record 4
VASP calculation (PBE-GGA) on a relaxed structure of HfTl2SnH.

## Properties
* spin magnetization: 0.9 μB per cell
* DFT total energy: -0.257 Ry per atom

Geometry as CIF:
```
data_HfTl2SnH
_cell_length_a 5.764
_cell_length_b 5.764
_cell_length_c 5.517
_cell_angle_alpha 90.00
_cell_angle_beta 90.00
_cell_angle_gamma 90.00
_symmetry_space_group_name_H-M 'P 4/m m m'
_symmetry_Int_Tables_number 123
_symmetry_space_group_name_Hall '-P 4 2'
loop_
_atom_site_label
_atom_site_type_symbol
_atom_site_fract_x
_atom_site_fract_y
_atom_site_fract_z
Hf1 Hf 0.000 0.000 0.000
Tl1 Tl 0.000 0.500 0.000
Sn1 Sn 0.000 0.000 0.500
H1 H 0.500 0.500 0.500
```

***

Record 5
VASP calculation (PBE-GGA) on a relaxed structure of Hf2VSnH.

## Properties
* spin magnetization: 0.0 μB per cell
* DFT total energy: -0.552 Ry per atom

Geometry as CIF:
```
data_Hf2VSnH
_cell_length_a 4.544
_cell_length_b 4.544
_cell_length_c 3.827
_cell_angle_alpha 90.00
_cell_angle_beta 90.00
_cell_angle_gamma 90.00
_symmetry_space_group_name_H-M 'P 4/m m m'
_symmetry_Int_Tables_number 123
_symmetry_space_group_name_Hall '-P 4 2'
loop_
_atom_site_label
_atom_site_type_symbol
_atom_site_fract_x
_atom_site_fract_y
_atom_site_fract_z
Hf1 Hf 0.000 0.500 0.000
V1 V 0.000 0.000 0.500
Sn1 Sn 0.500 0.500 0.500
H1 H 0.000 0.000 0.000
```

***

Record 6
VASP calculation (PBE-GGA) on a relaxed structure of HfV2SnH.

## Properties
* spin magnetization: 0.0 μB per cell
* DFT total energy: -0.531 Ry per atom

Geometry as CIF:
```
data_HfV2SnH
_cell_length_a 4.099
_cell_length_b 4.099
_cell_length_c 4.233
_cell_angle_alpha 90.00
_cell_angle_beta 90.00
_cell_angle_gamma 90.00
_symmetry_space_group_name_H-M 'P 4/m m m'
_symmetry_Int_Tables_number 123
_symmetry_space_group_name_Hall '-P 4 2'
loop_
_atom_site_label
_atom_site_type_symbol
_atom_site_fract_x
_atom_site_fract_y
_atom_site_fract_z
Hf1 Hf 0.000 0.000 0.000
V1 V 0.000 0.500 0.500
Sn1 Sn 0.500 0.500 0.000
H1 H 0.000 0.000 0.500
```

***

Record 7
VASP calculation (PBE-GGA) on a relaxed structure of Y2HfSnH.

## Properties
* spin magnetization: 0.0 μB per cell
* DFT total energy: -0.472 Ry per atom

Geometry as CIF:
```
data_Y2HfSnH
_cell_length_a 4.749
_cell_length_b 4.749
_cell_length_c 4.561
_cell_angle_alpha 90.00
_cell_angle_beta 90.00
_cell_angle_gamma 90.00
_symmetry_space_group_name_H-M 'P 4/m m m'
_symmetry_Int_Tables_number 123
_symmetry_space_group_name_Hall '-P 4 2'
loop_
_atom_site_label
_atom_site_type_symbol
_atom_site_fract_x
_atom_site_fract_y
_atom_site_fract_z
Y1 Y 0.000 0.500 0.000
Hf1 Hf 0.000 0.000 0.500
Sn1 Sn 0.500 0.500 0.500
H1 H 0.000 0.000 0.000
```

***

Record 8
VASP calculation (PBE-GGA) on a relaxed structure of Hf2ZnSnH.

## Properties
* spin magnetization: 0.0 μB per cell
* DFT total energy: -0.434 Ry per atom

Geometry as CIF:
```
data_Hf2ZnSnH
_cell_length_a 4.316
_cell_length_b 4.316
_cell_length_c 4.377
_cell_angle_alpha 90.00
_cell_angle_beta 90.00
_cell_angle_gamma 90.00
_symmetry_space_group_name_H-M 'P 4/m m m'
_symmetry_Int_Tables_number 123
_symmetry_space_group_name_Hall '-P 4 2'
loop_
_atom_site_label
_atom_site_type_symbol
_atom_site_fract_x
_atom_site_fract_y
_atom_site_fract_z
Hf1 Hf 0.000 0.500 0.000
Zn1 Zn 0.000 0.000 0.500
Sn1 Sn 0.500 0.500 0.500
H1 H 0.000 0.000 0.000
```

***

Record 9
VASP calculation (PBE-GGA) on a relaxed structure of Hf2ZrSnH.

## Properties
* spin magnetization: 0.0 μB per cell
* relative energy among the computed polymorphs: 95 meV/atom

Geometry as CIF:
```
data_Hf2ZrSnH
_cell_length_a 4.246
_cell_length_b 4.246
_cell_length_c 5.012
_cell_angle_alpha 90.00
_cell_angle_beta 90.00
_cell_angle_gamma 90.00
_symmetry_space_group_name_H-M 'P 4/m m m'
_symmetry_Int_Tables_number 123
_symmetry_space_group_name_Hall '-P 4 2'
loop_
_atom_site_label
_atom_site_type_symbol
_atom_site_fract_x
_atom_site_fract_y
_atom_site_fract_z
Hf1 Hf 0.000 0.500 0.000
Zr1 Zr 0.000 0.000 0.500
Sn1 Sn 0.500 0.500 0.500
H1 H 0.500 0.500 0.000
```

***

Record 10
VASP calculation (PBE-GGA) on a relaxed structure of Hf2ZrSnH.

## Properties
* spin magnetization: 0.0 μB per cell
* relative energy among the computed polymorphs: 0 meV/atom

Geometry as CIF:
```
data_Hf2ZrSnH
_cell_length_a 4.497
_cell_length_b 4.497
_cell_length_c 4.364
_cell_angle_alpha 90.00
_cell_angle_beta 90.00
_cell_angle_gamma 90.00
_symmetry_space_group_name_H-M 'P 4/m m m'
_symmetry_Int_Tables_number 123
_symmetry_space_group_name_Hall '-P 4 2'
loop_
_atom_site_label
_atom_site_type_symbol
_atom_site_fract_x
_atom_site_fract_y
_atom_site_fract_z
Hf1 Hf 0.000 0.500 0.000
Zr1 Zr 0.000 0.000 0.500
Sn1 Sn 0.500 0.500 0.500
H1 H 0.000 0.000 0.000
```

***

Record 11
VASP calculation (PBE-GGA) on a relaxed structure of Sr2HfH.

## Properties
* spin magnetization: 0.0 μB per cell
* relative energy among the computed polymorphs: 0 meV/atom

Geometry as CIF:
```
data_Sr2HfH
_cell_length_a 7.399
_cell_length_b 7.399
_cell_length_c 8.346
_cell_angle_alpha 90.00
_cell_angle_beta 90.00
_cell_angle_gamma 90.00
_symmetry_space_group_name_H-M 'I -4 2 d'
_symmetry_Int_Tables_number 122
_symmetry_space_group_name_Hall 'I -4 2bw'
loop_
_atom_site_label
_atom_site_type_symbol
_atom_site_fract_x
_atom_site_fract_y
_atom_site_fract_z
Sr1 Sr 0.126 0.250 0.125
Hf1 Hf 0.000 0.000 0.500
H1 H 0.000 0.000 0.000
```

***

Record 12
VASP calculation (PBE-GGA) on a relaxed structure of SrHf2H8.

## Properties
* spin magnetization: 0.0 μB per cell
* DFT total energy: -0.353 Ry per atom

Geometry as CIF:
```
data_SrHf2H8
_cell_length_a 6.063
_cell_length_b 9.380
_cell_length_c 3.779
_cell_angle_alpha 90.00
_cell_angle_beta 94.78
_cell_angle_gamma 90.00
_symmetry_space_group_name_H-M 'C 1 2/m 1'
_symmetry_Int_Tables_number 12
_symmetry_space_group_name_Hall '-C 2y'
loop_
_atom_site_label
_atom_site_type_symbol
_atom_site_fract_x
_atom_site_fract_y
_atom_site_fract_z
Sr1 Sr 0.000 0.000 0.000
Hf1 Hf 0.000 0.328 0.500
H1 H 0.000 0.263 0.000
H2 H 0.093 0.500 0.767
H3 H 0.174 0.145 0.523
```

***

Among the records above, which one has the highest spin magnetization? HfTl2SnH

***

Which value of spin magnetization does entry 11 give? 0.0 μB per cell

***

What is the spin magnetization in the tenth record? 0.0 μB per cell